(1)
The following is a DFT calculation (meta-GGA SCAN) of a crystal of AlCuNi2 relaxed with PBEsol.

Unit cell a=5.6458 b=5.6458 c=5.6458 alpha=90.00 beta=90.00 gamma=90.00
Last column: nearest neighbours and their distance in Å.
Space group F-43m (No. 216)
Symmetry-distinct sites (fractional):
Al  0.0000  0.0000  0.0000 x4  4 Ni 2.44, 4 Cu 2.44
Cu  0.2500  0.2500  0.7500 x4  4 Ni 2.44, 4 Al 2.44
Ni  0.0000  0.0000  0.5000 x4  4 Ni 2.44, 4 Cu 2.44
Ni  0.2500  0.2500  0.2500 x4  4 Al 2.44, 4 Ni 2.44

Properties
V: 11.25 Å³ per atom
Calculated density: 7.67 g cm⁻³
Magnetization: 0.00 μB per formula unit
Energy of formation from the pure elements: -0.335 eV/atom


(2)
The following is a DFT calculation (meta-GGA SCAN) of a crystal of AlCuNi2 relaxed with PBEsol.

Unit cell a=2.5979 b=3.4570 c=5.0200 alpha=90.00 beta=90.00 gamma=90.00
Last column: nearest neighbours and their distance in Å.
Space group Pmm2 (No. 25)
Symmetry-distinct sites (fractional):
Al  0.0000  0.0000  0.0000 x1  6 Ni 2.47-2.54, 4 Cu 2.55, 2 Al 2.60
Cu  0.5000  0.5000  0.2697 x1  6 Ni 2.47-2.55, 4 Al 2.55, 2 Cu 2.60
Ni  0.0000  0.0000  0.5065 x1  4 Cu 2.47, 2 Al 2.48-2.54, 6 Ni 2.51-2.60
Ni  0.5000  0.5000  0.7617 x1  2 Cu 2.47-2.55, 4 Al 2.47, 6 Ni 2.51-2.60

Properties
V: 11.27 Å³ per atom
Calculated density: 7.66 g cm⁻³
Magnetization: 0.00 μB per formula unit
Energy of formation from the pure elements: -0.289 eV/atom


(3)
The following is a DFT calculation (meta-GGA SCAN) of a crystal of Al2CuNi relaxed with PBEsol.

Unit cell a=3.7220 b=3.7220 c=4.8015 alpha=90.00 beta=90.00 gamma=120.00
Last column: nearest neighbours and their distance in Å.
Space group P-3m1 (No. 164)
Symmetry-distinct sites (fractional):
Al  0.3333  0.6667  0.2278 x2  3 Ni 2.41, 3 Cu 2.52
Cu  0.0000  0.0000  0.5000 x1  2 Ni 2.40, 6 Al 2.52
Ni  0.0000  0.0000  0.0000 x1  2 Cu 2.40, 6 Al 2.41

Properties
V: 14.40 Å³ per atom
Calculated density: 5.08 g cm⁻³
Magnetization: 0.00 μB per formula unit
Energy of formation from the pure elements: -0.248 eV/atom


(4)
The following is a DFT calculation (meta-GGA SCAN) of a crystal of AlCuNi2 relaxed with PBEsol.

Unit cell a=2.6749 b=3.1969 c=5.2275 alpha=90.00 beta=90.00 gamma=90.00
Last column: nearest neighbours and their distance in Å.
Space group Pmmm (No. 47)
Symmetry-distinct sites (fractional):
Al  0.0000  0.0000  0.0000 x1  8 Ni 2.46, 2 Cu 2.61, 2 Al 2.67
Cu  0.0000  0.0000  0.5000 x1  8 Ni 2.46, 2 Al 2.61, 2 Cu 2.67
Ni  0.5000  0.5000  0.2510 x2  4 Cu 2.46, 4 Al 2.46, 4 Ni 2.60-2.67

Properties
V: 11.18 Å³ per atom
Calculated density: 7.72 g cm⁻³
Magnetization: 0.00 μB per formula unit
Energy of formation from the pure elements: -0.400 eV/atom


(5)
The following is a DFT calculation (meta-GGA SCAN) of a crystal of AlCuNi6 relaxed with PBEsol.

Unit cell a=3.4974 b=3.4974 c=7.0023 alpha=90.00 beta=90.00 gamma=90.00
Last column: nearest neighbours and their distance in Å.
Space group P4/mmm (No. 123)
Symmetry-distinct sites (fractional):
Al  0.0000  0.0000  0.0000 x1  12 Ni 2.47-2.48
Cu  0.0000  0.0000  0.5000 x1  12 Ni 2.47
Ni  0.0000  0.5000  0.2518 x4  8 Ni 2.47-2.48, 2 Cu 2.47, 2 Al 2.48
Ni  0.5000  0.5000  0.0000 x1  4 Al 2.47, 8 Ni 2.48
Ni  0.5000  0.5000  0.5000 x1  8 Ni 2.47, 4 Cu 2.47

Properties
V: 10.71 Å³ per atom
Calculated density: 8.58 g cm⁻³
Magnetization: 2.99 μB per formula unit
Energy of formation from the pure elements: -0.203 eV/atom


(6)
The following is a DFT calculation (meta-GGA SCAN) of a crystal of Al4CuNi2 relaxed with PBEsol.

Unit cell a=6.8667 b=4.1206 c=7.1109 alpha=90.00 beta=117.94 gamma=90.00
Last column: nearest neighbours and their distance in Å.
Space group P2_1/m (No. 11)
Symmetry-distinct sites (fractional):
Al  0.0120  0.2500  0.3819 x2  3 Cu 2.48-2.55, 3 Ni 2.51-2.56, 5 Al 2.69-2.71
Al  0.1325  0.7500  0.0412 x2  5 Ni 2.46-2.68, 1 Cu 2.57, 4 Al 2.63-2.70
Al  0.4278  0.7500  0.8677 x2  4 Ni 2.43-2.55, 5 Al 2.65-2.69, 1 Cu 2.70
Al  0.4516  0.2500  0.6353 x2  3 Cu 2.45-2.55, 4 Ni 2.45-2.73, 4 Al 2.69-2.70
Cu  0.2331  0.7500  0.4377 x2  8 Al 2.45-2.70, 3 Ni 2.60-2.65
Ni  0.1939  0.2500  0.8327 x2  8 Al 2.47-2.73, 1 Cu 2.65, 1 Ni 2.69
Ni  0.2896  0.2500  0.2459 x2  8 Al 2.43-2.65, 2 Cu 2.60, 1 Ni 2.69

Properties
V: 12.70 Å³ per atom
Calculated density: 5.40 g cm⁻³
Magnetization: 0.01 μB per formula unit
Energy of formation from the pure elements: -0.496 eV/atom